An optimized crystal structure of Ba3P2S8. Source: Alexandria via LeMat-Bulk, functional GGA-PBE.

Summary:
The uncorrected formation energy is -1.25 eV per atom. For the total DFT energy (no corrections), the calculation gives -65.870 eV for the cell shown. As for the density of states at the Fermi level: 0.00 states/eV per atom. The symmetry is P-3m1, No. 164. The energy above the most stable polymorph in this dataset comes out at 0.012 eV/atom.

The structure in POSCAR format:
```
Ba3P2S8
1.0
-1.792 -2.675 5.910
-2.310 -2.658 -5.735
6.954 -5.359 -0.317
Ba P S
3 2 8
Direct
0.333 0.667 0.368
0.667 0.333 0.632
0.000 0.000 0.000
0.667 0.333 0.217
0.333 0.667 0.783
0.830 0.659 0.307
0.170 0.341 0.693
0.659 0.830 0.693
0.333 0.667 0.013
0.667 0.333 0.987
0.341 0.170 0.307
0.830 0.170 0.307
0.170 0.830 0.693
```